Density functional theory data (GGA-PBE) for a geometry-optimized ScAs2S structure.

Geometry as POSCAR:
```
ScAs2S
1.0
5.5492 0.0000 0.0000
0.0000 5.5492 0.0000
2.7746 2.7746 6.8975
S Sc As
2 2 4
direct
0.5000 0.5000 0.0000
0.2500 0.7500 0.5000
0.7500 0.2500 0.5000
0.0000 0.0000 0.0000
0.8750 0.8481 0.7500
0.3750 0.4019 0.7500
0.5981 0.1250 0.2500
0.1519 0.6250 0.2500
```

Calculated values
Final energy ... -19.76 eV per formula unit